TeC PBE optimized geometry; mass density = 7422 kg/m³; relative energy among the computed polymorphs = 104.64 kJ per mole of atoms; total moment = 0.00 Bohr magnetons per cell
1.0
-0.804 2.205 -2.643
-0.377 -1.244 -3.287
-3.204 -0.119 -1.488
C Te
1 1
Cartesian
0.000 0.000 0.000
-2.193 0.421 -3.709